Density functional theory data (GGA-PBE) for a relaxed Y2Al2GaPt5 crystal.

formation enthalpy at 0 K = -955 meV/atom
space-group type = P4/mbm (127)
D(E_F) = 10.5 states/eV/cell

Cell: 9.883 9.883 3.637 Å, 90.00 90.00 90.00°
Atoms (fractional coordinates):
Y (0.177, 0.323, 0.000)
Y (0.323, 0.823, 0.000)
Y (0.677, 0.177, 0.000)
Y (0.823, 0.677, 0.000)
Al (0.122, 0.622, 0.000)
Al (0.378, 0.122, 0.000)
Al (0.622, 0.878, 0.000)
Al (0.878, 0.378, 0.000)
Ga (0.000, 0.000, 0.000)
Ga (0.500, 0.500, 0.000)
Pt (0.000, 0.500, 0.500)
Pt (0.061, 0.795, 0.500)
Pt (0.205, 0.061, 0.500)
Pt (0.295, 0.561, 0.500)
Pt (0.439, 0.295, 0.500)
Pt (0.500, 0.000, 0.500)
Pt (0.561, 0.705, 0.500)
Pt (0.705, 0.439, 0.500)
Pt (0.795, 0.939, 0.500)
Pt (0.939, 0.205, 0.500)



Density functional theory data (GGA-PBE) for a relaxed Y2AlGa2Pt5 crystal.

formation enthalpy at 0 K = -928 meV/atom
space-group type = P4/mbm (127)
D(E_F) = 10.3 states/eV/cell

Cell: 10.005 10.005 3.564 Å, 90.00 90.00 90.00°
Atoms (fractional coordinates):
Y (0.175, 0.325, 0.000)
Y (0.325, 0.825, 0.000)
Y (0.675, 0.175, 0.000)
Y (0.825, 0.675, 0.000)
Al (0.000, 0.000, 0.000)
Al (0.500, 0.500, 0.000)
Ga (0.127, 0.627, 0.000)
Ga (0.373, 0.127, 0.000)
Ga (0.627, 0.873, 0.000)
Ga (0.873, 0.373, 0.000)
Pt (0.000, 0.500, 0.500)
Pt (0.049, 0.800, 0.500)
Pt (0.200, 0.049, 0.500)
Pt (0.300, 0.549, 0.500)
Pt (0.451, 0.300, 0.500)
Pt (0.500, 0.000, 0.500)
Pt (0.549, 0.700, 0.500)
Pt (0.700, 0.451, 0.500)
Pt (0.800, 0.951, 0.500)
Pt (0.951, 0.200, 0.500)



Density functional theory data (GGA-PBE) for a relaxed Y2AlGaPt6 crystal.

formation enthalpy at 0 K = -898 meV/atom
space-group type = R-3m (166)
D(E_F) = 4.0 states/eV/cell

Cell: 8.403 8.403 8.403 Å, 38.88 38.88 38.88°
Atoms (fractional coordinates):
Y (0.202, 0.202, 0.202)
Y (0.798, 0.798, 0.798)
Al (0.500, 0.500, 0.500)
Ga (0.000, 0.000, 0.000)
Pt (0.246, 0.748, 0.748)
Pt (0.252, 0.252, 0.754)
Pt (0.252, 0.754, 0.252)
Pt (0.748, 0.246, 0.748)
Pt (0.748, 0.748, 0.246)
Pt (0.754, 0.252, 0.252)



Density functional theory data (GGA-PBE) for a relaxed YAl2GaPt crystal.

formation enthalpy at 0 K = 254 meV/atom
relative energy among the computed polymorphs = 556 meV/atom
space-group type = P4/mmm (123)
D(E_F) = 3.2 states/eV/cell

Cell: 4.596 4.596 5.391 Å, 90.00 90.00 90.00°
Atoms (fractional coordinates):
Y (0.000, 0.000, 0.000)
Al (0.000, 0.500, 0.500)
Al (0.500, 0.000, 0.500)
Ga (0.000, 0.000, 0.500)
Pt (0.500, 0.500, 0.000)



Density functional theory data (GGA-PBE) for a relaxed YAl2GaPt crystal.

formation enthalpy at 0 K = -302 meV/atom
relative energy among the computed polymorphs = 0 meV/atom
space-group type = P4/mmm (123)
D(E_F) = 3.3 states/eV/cell

Cell: 4.789 4.789 4.813 Å, 90.00 90.00 90.00°
Atoms (fractional coordinates):
Y (0.000, 0.000, 0.000)
Al (0.000, 0.500, 0.500)
Al (0.500, 0.000, 0.500)
Ga (0.500, 0.500, 0.000)
Pt (0.500, 0.500, 0.500)



Density functional theory data (GGA-PBE) for a relaxed Al2Zn2GaPt5 crystal.

formation enthalpy at 0 K = -555 meV/atom
space-group type = P4/mbm (127)
D(E_F) = 4.7 states/eV/cell

Cell: 9.147 9.147 3.769 Å, 90.00 90.00 90.00°
Atoms (fractional coordinates):
Al (0.129, 0.371, 0.000)
Al (0.371, 0.871, 0.000)
Al (0.629, 0.129, 0.000)
Al (0.871, 0.629, 0.000)
Zn (0.169, 0.669, 0.000)
Zn (0.331, 0.169, 0.000)
Zn (0.669, 0.831, 0.000)
Zn (0.831, 0.331, 0.000)
Ga (0.000, 0.000, 0.000)
Ga (0.500, 0.500, 0.000)
Pt (0.000, 0.500, 0.500)
Pt (0.088, 0.193, 0.500)
Pt (0.193, 0.912, 0.500)
Pt (0.307, 0.412, 0.500)
Pt (0.412, 0.693, 0.500)
Pt (0.500, 0.000, 0.500)
Pt (0.588, 0.307, 0.500)
Pt (0.693, 0.588, 0.500)
Pt (0.807, 0.088, 0.500)
Pt (0.912, 0.807, 0.500)